# V3WS, relaxed, DFT PBE-GGA
# Distance to the lowest polymorph of the same formula   306 meV per atom
# Space-group type   Pm-3m
# Energy relative to the elements, uncorrected   0.29 eV per atom
# Calculated total energy   -43.0 eV for the cell shown
data_V3WS
_cell_length_a 4.2288
_cell_length_b 4.2288
_cell_length_c 4.2288
_cell_angle_alpha 90.00
_cell_angle_beta 90.00
_cell_angle_gamma 90.00
_symmetry_space_group_name_H-M 'P 1'
_symmetry_Int_Tables_number 1
loop_
_symmetry_equiv_pos_as_xyz
'x,y,z'
loop_
_atom_site_label
_atom_site_fract_x
_atom_site_fract_y
_atom_site_fract_z
_atom_site_occupancy
S1 0.0000 0.0000 0.0000 1
W1 0.5000 0.5000 0.5000 1
V1 0.0000 0.5000 0.0000 1
V2 0.0000 0.0000 0.5000 1
V3 0.5000 0.0000 0.0000 1